Crystalline GaRhO2 at its relaxed geometry, computed with GGA-PBEsol.

As for the uncorrected formation energy: -1166.5 meV/atom. The calculation puts the density of states at the Fermi level at 0.71 states/eV per atom. The calculation puts the electronic total energy at -79.9 eV per cell.

The space group is R-3m (No. 166, hexagonal axes) and the conventional cell measures 2.8662, 2.8662 and 18.3413 Å, with angles of 90.00, 90.00 and 120.00 degrees. The distinct sites, in fractional coordinates, are Ga at (0.0000, 0.0000, 0.0000), Rh at (0.0000, 0.0000, 0.5000) and O at (0.0000, 0.0000, 0.3906).